1.
GaNiAs2Se after structural relaxation, computed with PBE-GGA.

```
data_GaNiAs2Se
_cell_length_a 4.553
_cell_length_b 4.553
_cell_length_c 5.146
_cell_angle_alpha 90.00
_cell_angle_beta 90.00
_cell_angle_gamma 90.00
_symmetry_space_group_name_H-M 'P 4/m m m'
_symmetry_Int_Tables_number 123
_symmetry_space_group_name_Hall '-P 4 2'
loop_
_atom_site_label
_atom_site_type_symbol
_atom_site_fract_x
_atom_site_fract_y
_atom_site_fract_z
_atom_site_occupancy
Ga1 Ga 0.000 0.000 0.000 1
Ni1 Ni 0.500 0.500 0.500 1
As1 As 0.000 0.500 0.500 1
Se1 Se 0.500 0.500 0.000 1
```

Calculated values
* E: -19.9 eV per formula unit
* ρ: 5.56 g/cm3
* total moment: 0.000 μB per formula unit

2.
CsIrNF after structural relaxation, computed with PBE-GGA.

```
data_CsIrNF
_cell_length_a 3.509
_cell_length_b 4.620
_cell_length_c 5.888
_cell_angle_alpha 90.00
_cell_angle_beta 93.56
_cell_angle_gamma 90.00
_symmetry_space_group_name_H-M 'P 1 m 1'
_symmetry_Int_Tables_number 6
loop_
_symmetry_equiv_pos_as_xyz
'x,y,z'
'x,-y,z'
loop_
_atom_site_label
_atom_site_type_symbol
_atom_site_fract_x
_atom_site_fract_y
_atom_site_fract_z
_atom_site_occupancy
Cs1 Cs 0.000 0.000 0.000 1
Ir1 Ir 0.533 0.500 0.495 1
N1 N 0.016 0.500 0.406 1
F1 F 0.476 0.500 0.848 1
```

Calculated values
* E: -22.1 eV per formula unit
* ρ: 6.24 g/cm3
* total moment: 0.000 μB per formula unit

3.
MgOs2Ru after structural relaxation, computed with PBE-GGA.

```
data_MgOs2Ru
_cell_length_a 2.7581
_cell_length_b 2.7581
_cell_length_c 27.0568
_cell_angle_alpha 90.00
_cell_angle_beta 90.00
_cell_angle_gamma 120.00
_symmetry_space_group_name_H-M 'R -3 m'
_symmetry_Int_Tables_number 166
_symmetry_space_group_name_Hall '-R 3 2"'
loop_
_atom_site_label
_atom_site_type_symbol
_atom_site_fract_x
_atom_site_fract_y
_atom_site_fract_z
_atom_site_occupancy
Mg1 Mg 0.0000 0.0000 0.0000 1
Os1 Os 0.0000 0.0000 0.2463 1
Ru1 Ru 0.0000 0.0000 0.5000 1
```

Calculated values
* E: -32.5 eV per formula unit
* ρ: 14.14 g/cm3
* total moment: 0.000 μB per formula unit
* DFT formation energy: 203 meV/atom

4.
AcGa3Ag5 after structural relaxation, computed with PBE-GGA.

```
data_AcGa3Ag5
_cell_length_a 4.177
_cell_length_b 13.848
_cell_length_c 13.145
_cell_angle_alpha 90.00
_cell_angle_beta 90.00
_cell_angle_gamma 90.00
_symmetry_space_group_name_H-M 'C m c m'
_symmetry_Int_Tables_number 63
_symmetry_space_group_name_Hall '-C 2c 2'
loop_
_atom_site_label
_atom_site_type_symbol
_atom_site_fract_x
_atom_site_fract_y
_atom_site_fract_z
_atom_site_occupancy
Ac1 Ac 0.000 0.166 0.250 1
Ga1 Ga 0.000 0.125 0.750 1
Ga2 Ga 0.000 0.382 0.553 1
Ag1 Ag 0.000 0.000 0.000 1
Ag2 Ag 0.000 0.196 0.563 1
Ag3 Ag 0.000 0.447 0.145 1
```

Calculated values
* E: -29.0 eV per formula unit
* ρ: 8.52 g/cm3
* total moment: 0.000 μB per formula unit
* DFT formation energy: -177 meV/atom

5.
BaSnPt2 after structural relaxation, computed with PBE-GGA.

```
data_BaSnPt2
_cell_length_a 8.128
_cell_length_b 4.474
_cell_length_c 11.299
_cell_angle_alpha 90.00
_cell_angle_beta 90.00
_cell_angle_gamma 90.00
_symmetry_space_group_name_H-M 'P n m a'
_symmetry_Int_Tables_number 62
loop_
_symmetry_equiv_pos_as_xyz
'x,y,z'
'-x,-y,-z'
'-x+1/2,-y,z+1/2'
'x+1/2,y,-z+1/2'
'x+1/2,-y+1/2,-z+1/2'
'-x+1/2,y+1/2,z+1/2'
'-x,y+1/2,-z'
'x,-y+1/2,z'
loop_
_atom_site_label
_atom_site_type_symbol
_atom_site_fract_x
_atom_site_fract_y
_atom_site_fract_z
_atom_site_occupancy
Ba1 Ba 0.136 0.250 0.129 1
Sn1 Sn 0.011 0.750 0.386 1
Pt1 Pt 0.165 0.250 0.812 1
Pt2 Pt 0.195 0.250 0.424 1
```

Calculated values
* E: -21.1 eV per formula unit
* ρ: 10.45 g/cm3
* total moment: 0.000 μB per formula unit
* DFT formation energy: -762 meV/atom

6.
TlInGa2Ru after structural relaxation, computed with PBE-GGA.

```
data_TlInGa2Ru
_cell_length_a 4.852
_cell_length_b 4.852
_cell_length_c 5.227
_cell_angle_alpha 90.00
_cell_angle_beta 90.00
_cell_angle_gamma 90.00
_symmetry_space_group_name_H-M 'P 4/m m m'
_symmetry_Int_Tables_number 123
_symmetry_space_group_name_Hall '-P 4 2'
loop_
_atom_site_label
_atom_site_type_symbol
_atom_site_fract_x
_atom_site_fract_y
_atom_site_fract_z
_atom_site_occupancy
Tl1 Tl 0.000 0.000 0.000 1
In1 In 0.500 0.500 0.000 1
Ga1 Ga 0.000 0.500 0.500 1
Ru1 Ru 0.500 0.500 0.500 1
```

Calculated values
* E: -20.7 eV per formula unit
* ρ: 7.55 g/cm3
* total moment: 0.000 μB per formula unit
* DFT formation energy: -54 meV/atom

7.
Na2ZrPbF after structural relaxation, computed with PBE-GGA.

```
data_Na2ZrPbF
_cell_length_a 4.386
_cell_length_b 4.386
_cell_length_c 5.126
_cell_angle_alpha 90.00
_cell_angle_beta 90.00
_cell_angle_gamma 90.00
_symmetry_space_group_name_H-M 'P 4/m m m'
_symmetry_Int_Tables_number 123
_symmetry_space_group_name_Hall '-P 4 2'
loop_
_atom_site_label
_atom_site_type_symbol
_atom_site_fract_x
_atom_site_fract_y
_atom_site_fract_z
_atom_site_occupancy
Na1 Na 0.000 0.500 0.000 1
Zr1 Zr 0.000 0.000 0.500 1
Pb1 Pb 0.500 0.500 0.500 1
F1 F 0.000 0.000 0.000 1
```

Calculated values
* E: -21.0 eV per formula unit
* ρ: 6.12 g/cm3
* total moment: 1.023 μB per formula unit

8.
Dy2YCu after structural relaxation, computed with PBE-GGA.

```
data_Dy2YCu
_cell_length_a 3.6539
_cell_length_b 3.6539
_cell_length_c 29.0659
_cell_angle_alpha 90.00
_cell_angle_beta 90.00
_cell_angle_gamma 120.00
_symmetry_space_group_name_H-M 'R 3 m'
_symmetry_Int_Tables_number 160
_symmetry_space_group_name_Hall 'R 3 -2"'
loop_
_atom_site_label
_atom_site_type_symbol
_atom_site_fract_x
_atom_site_fract_y
_atom_site_fract_z
_atom_site_occupancy
Dy1 Dy 0.0000 0.0000 0.0000 1
Dy2 Dy 0.0000 0.0000 0.1989 1
Y1 Y 0.0000 0.0000 0.4333 1
Cu1 Cu 0.0000 0.0000 0.5989 1
```

Calculated values
* E: -19.6 eV per formula unit
* ρ: 7.08 g/cm3
* total moment: 0.494 μB per formula unit
* DFT formation energy: 29 meV/atom

- Which of these has the highest ρ?
  MgOs2Ru

- Look up the ρ of the fifth one.
  10.45 g/cm3